Compound: Zn2SiMo
Source: Alexandria
Functional: PBE
Structure: relaxed

CIF file:
```
data_Zn2SiMo
_chemical_formula_sum 'Zn4 Si2 Mo2'
_cell_length_a 7.0909
_cell_length_b 7.0909
_cell_length_c 5.5940
_cell_angle_alpha 50.67
_cell_angle_beta 50.67
_cell_angle_gamma 90.00
_symmetry_space_group_name_H-M 'P 1'
_symmetry_Int_Tables_number 1
_symmetry_space_group_name_Hall 'P 1'
loop_
_atom_site_label
_atom_site_fract_x
_atom_site_fract_y
_atom_site_fract_z
Mo1 0.7500 0.2500 0.5000
Mo2 0.0000 0.0000 0.0000
Si1 0.5000 0.5000 0.0000
Si2 0.2500 0.7500 0.5000
Zn1 0.1466 0.6250 0.2500
Zn2 0.6034 0.1250 0.2500
Zn3 0.8750 0.8534 0.7500
Zn4 0.3750 0.3966 0.7500
```

Values from the calculation:
The calculation puts the uncorrected formation energy at 0.335 eV/atom. The total energy is -4.3652 eV per atom. Its symmetry is I-42d.

***

Compound: SrTl4Cd2
Source: Alexandria
Functional: PBE
Structure: relaxed

CIF file:
```
data_SrTl4Cd2
_chemical_formula_sum 'Sr1 Tl4 Cd2'
_cell_length_a 4.9246
_cell_length_b 4.9918
_cell_length_c 9.1943
_cell_angle_alpha 105.75
_cell_angle_beta 90.00
_cell_angle_gamma 90.00
_symmetry_space_group_name_H-M 'P 1'
_symmetry_Int_Tables_number 1
_symmetry_space_group_name_Hall 'P 1'
loop_
_atom_site_label
_atom_site_fract_x
_atom_site_fract_y
_atom_site_fract_z
Cd1 0.5000 0.5789 0.1579
Cd2 0.5000 0.4211 0.8421
Tl1 0.5000 0.8176 0.6352
Tl2 0.0000 0.6865 0.3731
Tl3 0.5000 0.1824 0.3648
Tl4 0.0000 0.3135 0.6269
Sr1 0.0000 0.0000 0.0000
```

Values from the calculation:
The total energy is -1.9531 eV per atom. Its symmetry is Cmmm. As for the polymorph energy (0 for the lowest one): 8.7 meV/atom. As for the formation energy from the elements: -0.099 eV per atom.

***

Compound: Li2CaHo2In2
Source: Alexandria
Functional: PBE
Structure: relaxed

CIF file:
```
data_Li2CaHo2In2
_chemical_formula_sum 'Li2 Ca1 Ho2 In2'
_cell_length_a 4.9156
_cell_length_b 4.9156
_cell_length_c 9.4248
_cell_angle_alpha 74.88
_cell_angle_beta 74.88
_cell_angle_gamma 60.00
_symmetry_space_group_name_H-M 'P 1'
_symmetry_Int_Tables_number 1
_symmetry_space_group_name_Hall 'P 1'
loop_
_atom_site_label
_atom_site_fract_x
_atom_site_fract_y
_atom_site_fract_z
In1 0.2547 0.2547 0.2360
In2 0.7453 0.7453 0.7640
Ho1 0.8703 0.8703 0.3892
Ho2 0.1297 0.1297 0.6108
Ca1 0.0000 0.0000 0.0000
Li1 0.6000 0.6000 0.2001
Li2 0.4000 0.4000 0.7999
```

Values from the calculation:
The total energy is -3.1346 eV per atom. Its symmetry is R-3m. As for the formation energy from the elements: -0.211 eV per atom.

***

Compound: PtWCl2
Source: Alexandria
Functional: PBE
Structure: relaxed

CIF file:
```
data_PtWCl2
_chemical_formula_sum 'Pt1 W1 Cl2'
_cell_length_a 3.0176
_cell_length_b 3.0176
_cell_length_c 8.4003
_cell_angle_alpha 90.00
_cell_angle_beta 90.00
_cell_angle_gamma 90.00
_symmetry_space_group_name_H-M 'P 1'
_symmetry_Int_Tables_number 1
_symmetry_space_group_name_Hall 'P 1'
loop_
_atom_site_label
_atom_site_fract_x
_atom_site_fract_y
_atom_site_fract_z
W1 0.5000 0.5000 0.7256
Pt1 0.0000 0.0000 0.5337
Cl1 0.0000 0.0000 0.9219
Cl2 0.5000 0.5000 0.3188
```

Values from the calculation:
The calculation puts the uncorrected formation energy at -0.048 eV/atom. The total energy is -5.7195 eV per atom. Its symmetry is P4mm. As for the polymorph energy (0 for the lowest one): 111.3 meV/atom.

***

Compound: FeOsRh4
Source: Alexandria
Functional: PBE
Structure: relaxed

CIF file:
```
data_FeOsRh4
_chemical_formula_sum 'Fe1 Os1 Rh4'
_cell_length_a 5.0261
_cell_length_b 5.0261
_cell_length_c 5.0261
_cell_angle_alpha 60.00
_cell_angle_beta 60.00
_cell_angle_gamma 60.00
_symmetry_space_group_name_H-M 'P 1'
_symmetry_Int_Tables_number 1
_symmetry_space_group_name_Hall 'P 1'
loop_
_atom_site_label
_atom_site_fract_x
_atom_site_fract_y
_atom_site_fract_z
Rh1 0.8751 0.3750 0.3750
Rh2 0.3750 0.3750 0.8751
Rh3 0.3750 0.8751 0.3750
Rh4 0.3750 0.3750 0.3750
Os1 0.0000 0.0000 0.0000
Fe1 0.7500 0.7500 0.7500
```

Values from the calculation:
The total energy is -7.6259 eV per atom. Its symmetry is F-43m. As for the polymorph energy (0 for the lowest one): 523.8 meV/atom. As for the formation energy from the elements: 0.557 eV per atom.

***

Compound: K2AlIn
Source: Alexandria
Functional: PBE
Structure: relaxed

CIF file:
```
data_K2AlIn
_chemical_formula_sum 'K2 Al1 In1'
_cell_length_a 9.4302
_cell_length_b 9.4302
_cell_length_c 9.4302
_cell_angle_alpha 29.40
_cell_angle_beta 29.40
_cell_angle_gamma 29.40
_symmetry_space_group_name_H-M 'P 1'
_symmetry_Int_Tables_number 1
_symmetry_space_group_name_Hall 'P 1'
loop_
_atom_site_label
_atom_site_fract_x
_atom_site_fract_y
_atom_site_fract_z
Al1 0.4583 0.4583 0.4583
K1 0.2156 0.2156 0.2156
K2 0.0344 0.0344 0.0344
In1 0.7917 0.7917 0.7917
```

Values from the calculation:
The total energy is -2.1564 eV per atom. Its symmetry is R3m. As for the polymorph energy (0 for the lowest one): 0.0 meV/atom. As for the formation energy from the elements: 0.013 eV per atom.

***

Compound: ReOsRu3
Source: Alexandria
Functional: PBE
Structure: relaxed

CIF file:
```
data_ReOsRu3
_chemical_formula_sum 'Re2 Os2 Ru6'
_cell_length_a 4.8794
_cell_length_b 8.5525
_cell_length_c 5.1770
_cell_angle_alpha 74.57
_cell_angle_beta 122.12
_cell_angle_gamma 74.56
_symmetry_space_group_name_H-M 'P 1'
_symmetry_Int_Tables_number 1
_symmetry_space_group_name_Hall 'P 1'
loop_
_atom_site_label
_atom_site_fract_x
_atom_site_fract_y
_atom_site_fract_z
Ru1 0.5627 0.0210 0.7287
Ru2 0.3032 0.2817 0.1460
Ru3 0.6848 0.5178 0.5454
Ru4 0.3106 0.3606 0.6117
Ru5 0.4227 0.7822 0.9497
Ru6 0.7324 0.9419 0.3526
Os1 0.0075 0.1495 0.7259
Os2 0.9876 0.6517 0.9626
Re1 0.2523 0.8558 0.3283
Re2 0.6636 0.4456 0.0690
```

Values from the calculation:
The total energy is -9.9425 eV per atom. Its symmetry is P1. As for the polymorph energy (0 for the lowest one): 282.2 meV/atom. As for the formation energy from the elements: 0.359 eV per atom.

***

Compound: Na5Si2P4
Source: Alexandria
Functional: PBE
Structure: relaxed

CIF file:
```
data_Na5Si2P4
_chemical_formula_sum 'Na5 Si2 P4'
_cell_length_a 3.6415
_cell_length_b 8.7648
_cell_length_c 8.7589
_cell_angle_alpha 111.51
_cell_angle_beta 102.00
_cell_angle_gamma 90.00
_symmetry_space_group_name_H-M 'P 1'
_symmetry_Int_Tables_number 1
_symmetry_space_group_name_Hall 'P 1'
loop_
_atom_site_label
_atom_site_fract_x
_atom_site_fract_y
_atom_site_fract_z
P1 0.3114 0.2934 0.6228
P2 0.6886 0.7066 0.3772
P3 0.9945 0.2435 0.9891
P4 0.0055 0.7565 0.0109
Si1 0.4535 0.3573 0.9069
Si2 0.5465 0.6427 0.0931
Na1 0.1648 0.4383 0.3296
Na2 0.1740 0.9561 0.3479
Na3 0.5000 0.0000 0.0000
Na4 0.8260 0.0439 0.6521
Na5 0.8352 0.5617 0.6704
```

Values from the calculation:
The calculation puts the uncorrected formation energy at -0.279 eV/atom. The total energy is -3.8317 eV per atom. Its symmetry is C2/m.

***

Copy entry 1 word for word.
Compound: Zn2SiMo
Source: Alexandria
Functional: PBE
Structure: relaxed

CIF file:
```
data_Zn2SiMo
_chemical_formula_sum 'Zn4 Si2 Mo2'
_cell_length_a 7.0909
_cell_length_b 7.0909
_cell_length_c 5.5940
_cell_angle_alpha 50.67
_cell_angle_beta 50.67
_cell_angle_gamma 90.00
_symmetry_space_group_name_H-M 'P 1'
_symmetry_Int_Tables_number 1
_symmetry_space_group_name_Hall 'P 1'
loop_
_atom_site_label
_atom_site_fract_x
_atom_site_fract_y
_atom_site_fract_z
Mo1 0.7500 0.2500 0.5000
Mo2 0.0000 0.0000 0.0000
Si1 0.5000 0.5000 0.0000
Si2 0.2500 0.7500 0.5000
Zn1 0.1466 0.6250 0.2500
Zn2 0.6034 0.1250 0.2500
Zn3 0.8750 0.8534 0.7500
Zn4 0.3750 0.3966 0.7500
```

Values from the calculation:
The calculation puts the uncorrected formation energy at 0.335 eV/atom. The total energy is -4.3652 eV per atom. Its symmetry is I-42d.

***

What did the third record say?
Compound: Li2CaHo2In2
Source: Alexandria
Functional: PBE
Structure: relaxed

CIF file:
```
data_Li2CaHo2In2
_chemical_formula_sum 'Li2 Ca1 Ho2 In2'
_cell_length_a 4.9156
_cell_length_b 4.9156
_cell_length_c 9.4248
_cell_angle_alpha 74.88
_cell_angle_beta 74.88
_cell_angle_gamma 60.00
_symmetry_space_group_name_H-M 'P 1'
_symmetry_Int_Tables_number 1
_symmetry_space_group_name_Hall 'P 1'
loop_
_atom_site_label
_atom_site_fract_x
_atom_site_fract_y
_atom_site_fract_z
In1 0.2547 0.2547 0.2360
In2 0.7453 0.7453 0.7640
Ho1 0.8703 0.8703 0.3892
Ho2 0.1297 0.1297 0.6108
Ca1 0.0000 0.0000 0.0000
Li1 0.6000 0.6000 0.2001
Li2 0.4000 0.4000 0.7999
```

Values from the calculation:
The total energy is -3.1346 eV per atom. Its symmetry is R-3m. As for the formation energy from the elements: -0.211 eV per atom.